# Pm2Nd4SmDy (PBE-GGA, optimized geometry)
# Calculated density   7.1 g cm⁻³
# V   34.35 Å³ per atom
# Fermi-level density of states   11.43 states/eV per cell
# Calculated formation energy   0.012 eV/atom
data_Pm2Nd4SmDy
_cell_length_a 5.171
_cell_length_b 5.160
_cell_length_c 11.530
_cell_angle_alpha 63.29
_cell_angle_beta 90.00
_cell_angle_gamma 90.00
_symmetry_space_group_name_H-M 'P 1'
_symmetry_Int_Tables_number 1
_symmetry_space_group_name_Hall 'P 1'
loop_
_atom_site_label
_atom_site_fract_x
_atom_site_fract_y
_atom_site_fract_z
Nd1 0.000 0.248 0.252
Dy1 0.000 0.500 0.500
Nd2 0.500 0.251 0.749
Pm1 0.500 0.000 0.500
Pm2 0.000 0.000 0.000
Nd3 0.500 0.749 0.251
Nd4 0.000 0.752 0.748
Sm1 0.500 0.500 0.000

# Pm6Nd2SmDy3 (PBE-GGA, optimized geometry)
# Calculated density   7.4 g cm⁻³
# V   33.73 Å³ per atom
# Fermi-level density of states   16.34 states/eV per cell
# Calculated formation energy   0.014 eV/atom
data_Pm6Nd2SmDy3
_cell_length_a 6.288
_cell_length_b 6.288
_cell_length_c 12.003
_cell_angle_alpha 95.01
_cell_angle_beta 95.01
_cell_angle_gamma 120.00
_symmetry_space_group_name_H-M 'P 1'
_symmetry_Int_Tables_number 1
_symmetry_space_group_name_Hall 'P 1'
loop_
_atom_site_label
_atom_site_fract_x
_atom_site_fract_y
_atom_site_fract_z
Pm1 0.084 0.417 0.253
Pm2 0.583 0.916 0.747
Pm3 0.417 0.084 0.253
Pm4 0.249 0.249 0.746
Nd1 0.667 0.333 0.000
Pm5 0.751 0.751 0.254
Sm1 0.000 0.000 0.000
Dy1 0.500 0.500 0.500
Nd2 0.333 0.667 0.000
Dy2 0.167 0.833 0.500
Pm6 0.916 0.583 0.747
Dy3 0.833 0.167 0.500

# PmNdSm6Dy2 (PBE-GGA, optimized geometry)
# Calculated density   7.4 g cm⁻³
# V   33.93 Å³ per atom
# Fermi-level density of states   29.53 states/eV per cell
# Calculated formation energy   0.118 eV/atom
data_PmNdSm6Dy2
_cell_length_a 9.721
_cell_length_b 8.914
_cell_length_c 8.914
_cell_angle_alpha 117.57
_cell_angle_beta 93.95
_cell_angle_gamma 93.95
_symmetry_space_group_name_H-M 'P 1'
_symmetry_Int_Tables_number 1
_symmetry_space_group_name_Hall 'P 1'
loop_
_atom_site_label
_atom_site_fract_x
_atom_site_fract_y
_atom_site_fract_z
Pm1 0.250 0.972 0.028
Sm1 0.120 0.706 0.490
Sm2 0.682 0.019 0.566
Sm3 0.444 0.245 0.885
Sm4 0.380 0.510 0.294
Sm5 0.880 0.294 0.510
Sm6 0.556 0.755 0.115
Dy1 0.454 0.803 0.704
Dy2 0.046 0.296 0.197
Sm7 0.620 0.490 0.706
Sm8 0.182 0.566 0.019
Sm9 0.056 0.115 0.755
Sm10 0.318 0.981 0.434
Dy3 0.546 0.197 0.296
Dy4 0.954 0.704 0.803
Pm2 0.750 0.028 0.972
Sm11 0.944 0.885 0.245
Nd1 0.750 0.593 0.407
Sm12 0.818 0.434 0.981
Nd2 0.250 0.407 0.593

# Pm2NdSmDy2 (PBE-GGA, optimized geometry)
# Calculated density   7.3 g cm⁻³
# V   34.29 Å³ per atom
# Fermi-level density of states   20.63 states/eV per cell
# Calculated formation energy   0.260 eV/atom
data_Pm2NdSmDy2
_cell_length_a 3.420
_cell_length_b 6.622
_cell_length_c 18.171
_cell_angle_alpha 90.00
_cell_angle_beta 90.00
_cell_angle_gamma 90.00
_symmetry_space_group_name_H-M 'P 1'
_symmetry_Int_Tables_number 1
_symmetry_space_group_name_Hall 'P 1'
loop_
_atom_site_label
_atom_site_fract_x
_atom_site_fract_y
_atom_site_fract_z
Dy1 0.500 0.779 0.352
Sm1 0.000 0.000 0.500
Pm1 0.000 0.223 0.813
Dy2 0.500 0.221 0.648
Pm2 0.500 0.723 0.687
Sm2 0.500 0.500 0.000
Nd1 0.000 0.000 0.000
Dy3 0.000 0.721 0.852
Pm3 0.500 0.277 0.313
Nd2 0.500 0.500 0.500
Dy4 0.000 0.279 0.148
Pm4 0.000 0.777 0.187

Copy entry 2 word for word.
# Pm6Nd2SmDy3 (PBE-GGA, optimized geometry)
# Calculated density   7.4 g cm⁻³
# V   33.73 Å³ per atom
# Fermi-level density of states   16.34 states/eV per cell
# Calculated formation energy   0.014 eV/atom
data_Pm6Nd2SmDy3
_cell_length_a 6.288
_cell_length_b 6.288
_cell_length_c 12.003
_cell_angle_alpha 95.01
_cell_angle_beta 95.01
_cell_angle_gamma 120.00
_symmetry_space_group_name_H-M 'P 1'
_symmetry_Int_Tables_number 1
_symmetry_space_group_name_Hall 'P 1'
loop_
_atom_site_label
_atom_site_fract_x
_atom_site_fract_y
_atom_site_fract_z
Pm1 0.084 0.417 0.253
Pm2 0.583 0.916 0.747
Pm3 0.417 0.084 0.253
Pm4 0.249 0.249 0.746
Nd1 0.667 0.333 0.000
Pm5 0.751 0.751 0.254
Sm1 0.000 0.000 0.000
Dy1 0.500 0.500 0.500
Nd2 0.333 0.667 0.000
Dy2 0.167 0.833 0.500
Pm6 0.916 0.583 0.747
Dy3 0.833 0.167 0.500